1.
Density functional theory data (PBE) for Ca2MgSe after structural relaxation.

a b c (Å): 3.6808 3.6808 8.9945
angles (deg): 65.75 90.00 90.00
Fractional positions:
1 Ca 0.0000 0.0373 0.9631
2 Ca 0.0000 0.4627 0.5369
3 Mg 0.5000 0.2500 0.2500
4 Se 0.5000 0.7500 0.7500

ΔE to the lowest computed polymorph = 55 meV/atom
DOS at the Fermi energy = 2.2 states/eV/cell
E_form (uncorrected) = -0.83 eV per atom
space group = No. 10

2.
Density functional theory data (PBE) for LiPr4Ag2 after structural relaxation.

a b c (Å): 5.3053 5.3053 9.2319
angles (deg): 73.30 73.30 60.00
Fractional positions:
1 Li 0.5000 0.5000 0.5000
2 Pr 0.7142 0.7142 0.8575
3 Pr 0.8734 0.8734 0.3796
4 Pr 0.2858 0.2858 0.1425
5 Pr 0.1266 0.1266 0.6204
6 Ag 0.5946 0.5946 0.2161
7 Ag 0.4054 0.4054 0.7839

DOS at the Fermi energy = 8.7 states/eV/cell
space group = No. 166
formation enthalpy at 0 K = 0.14 eV/f.u.

3.
Density functional theory data (PBE) for Ca2BeCrBr after structural relaxation.

a b c (Å): 5.8401 4.2004 5.8401
angles (deg): 90.00 90.00 90.00
Last column: magnetic moment on the atom in μB.
Fractional positions:
1 Cr 0.0000 0.0000 0.0000  3.47
2 Ca 0.0000 0.0000 0.5000  0.06
3 Ca 0.5000 0.0000 0.0000  0.06
4 Br 0.5000 0.5000 0.5000  -0.01
5 Be 0.0000 0.5000 0.0000  -0.04

DOS at the Fermi energy = 2.0 states/eV/cell
E_form (uncorrected) = 0.28 eV per atom
space group = No. 123